# 1
Density functional theory data (PBE-GGA) for a relaxed structure of ThSb2Rh7Pb2.

Output
magnetic moment: 0.00 μB per formula unit
volume: 245.9 Å³ per cell

Lattice parameters (Å, degrees): 4.031 4.031 15.241 94.88 94.88 89.85
Fractional coordinates of all 12 atoms:
Th  0.000  0.000  0.000
Sb  0.420  0.420  0.749
Sb  0.580  0.580  0.251
Rh  0.045  0.545  0.141
Rh  0.377  0.377  0.576
Rh  0.455  0.955  0.859
Rh  0.500  0.500  0.000
Rh  0.545  0.045  0.141
Rh  0.623  0.623  0.424
Rh  0.955  0.455  0.859
Pb  0.119  0.119  0.403
Pb  0.881  0.881  0.597



# 2
Density functional theory data (PBE-GGA) for a relaxed structure of YSbRhPb2.

Output
magnetic moment: 0.00 μB per formula unit
volume: 182.0 Å³ per cell

Lattice parameters (Å, degrees): 5.672 5.672 5.656 90.00 90.00 90.00
Fractional coordinates of all 5 atoms:
Y  0.000  0.000  0.000
Sb  0.000  0.000  0.500
Rh  0.500  0.500  0.000
Pb  0.000  0.500  0.500
Pb  0.500  0.000  0.500



| no. | total DFT energy (no corrections) (eV per cell) |
| --- | --- |
| 1 | -78.14 |
| 2 | -20.76 |